First-principles (PBE+U) data for a relaxed structure of Li2FeF4, as listed in the Alexandria database.

Results
Fermi-level density of states = 0.00 states/eV/cell
Raw total energy = -5.14 eV per atom
Symmetry = C2/c, No. 15
Energy relative to the lowest polymorph listed for this composition = 0.013 eV per atom
Crystal system = monoclinic

Cell lengths 5.782, 5.782, 5.377 Å; angles 88.38, 88.38, 60.47 degrees
Last column: magnetic moment on the atom in μB.
Fractional positions:
Li (0.943, 0.654, 0.284)  0.00
Li (0.654, 0.943, 0.784)  0.00
Li (0.346, 0.057, 0.216)  0.00
Li (0.057, 0.346, 0.716)  0.00
Fe (0.646, 0.354, 0.250)  3.80
Fe (0.354, 0.646, 0.750)  3.80
F (0.010, 0.278, 0.378)  0.02
F (0.278, 0.010, 0.878)  0.02
F (0.503, 0.730, 0.409)  0.04
F (0.730, 0.503, 0.909)  0.04
F (0.270, 0.497, 0.091)  0.04
F (0.497, 0.270, 0.591)  0.04
F (0.722, 0.990, 0.122)  0.02
F (0.990, 0.722, 0.622)  0.02